Below is crystalline Mg2InFe at its relaxed geometry, with properties calculated at the GGA-PBE level.

Values from the calculation:
The calculation puts the volume at 19.634 Å³/atom. Its spin magnetization is 7.3 μB/cell. The raw total energy comes out at -3.39 eV per atom. Its energy relative to the elements is 0.21 eV per atom.

Lattice parameters (Å, degrees): 3.1034 3.1034 28.2470 90.00 90.00 120.00
Last column: nearest neighbours and their distance in Å.
Space group R-3m (No. 166, hexagonal axes)
Asymmetric unit:
Mg: 0.0000 0.0000 0.2418  3 Fe 2.78, 6 Mg 3.10
In: 0.0000 0.0000 0.0000  6 In 3.10, 6 Mg 3.15
Fe: 0.0000 0.0000 0.5000  6 Mg 2.78, 6 Fe 3.10

---

Below is crystalline MgIn2Fe at its relaxed geometry, with properties calculated at the GGA-PBE level.

Values from the calculation:
The calculation puts the volume at 19.075 Å³/atom. Its spin magnetization is 4.0 μB/cell. The raw total energy comes out at -3.70 eV per atom. Its energy relative to the elements is 0.18 eV per atom.

Lattice parameters (Å, degrees): 4.2420 4.2420 8.4804 90.00 90.00 90.00
Last column: nearest neighbours and their distance in Å.
Space group I4/mmm (No. 139)
Asymmetric unit:
Mg: 0.0000 0.0000 0.0000  8 In 3.00, 4 Fe 3.00
In: 0.0000 0.5000 0.2500  4 Mg 3.00, 4 Fe 3.00, 4 In 3.00
Fe: 0.0000 0.0000 0.5000  8 In 3.00, 4 Mg 3.00

---

Below is crystalline MgIn2Fe2 at its relaxed geometry, with properties calculated at the GGA-PBE level.

Values from the calculation:
The calculation puts the volume at 17.710 Å³/atom. Its spin magnetization is 8.1 μB/cell. The raw total energy comes out at -4.61 eV per atom. Its energy relative to the elements is 0.19 eV per atom.

Lattice parameters (Å, degrees): 7.0866 7.0866 3.5265 90.00 90.00 90.00
Last column: nearest neighbours and their distance in Å.
Space group P4/mbm (No. 127)
Asymmetric unit:
Mg: 0.0000 0.0000 0.0000  4 Fe 2.83, 8 In 3.16
In: 0.1737 0.3263 0.5000  6 Fe 2.73-2.75
Fe: 0.1183 0.6183 0.0000  1 Fe 2.37

---

Below is crystalline Mg2InFe at its relaxed geometry, with properties calculated at the GGA-PBE level.

Values from the calculation:
The calculation puts the volume at 19.273 Å³/atom. Its spin magnetization is 2.3 μB/cell. The raw total energy comes out at -3.41 eV per atom. Its energy relative to the elements is 0.19 eV per atom.

Lattice parameters (Å, degrees): 3.0471 4.5049 5.8162 90.00 105.07 90.00
Last column: nearest neighbours and their distance in Å.
Space group Pm (No. 6)
Asymmetric unit:
Mg: 0.0000 0.0000 0.0000  4 Fe 2.93, 3 In 2.98-3.06, 6 Mg 3.05-3.22
Mg: 0.3471 0.5000 0.6954  1 Fe 2.79, 4 In 3.03-3.04, 2 Mg 3.05
In: 0.7267 0.0000 0.4555  2 Fe 2.69, 2 Mg 2.98
Fe: 0.5965 0.5000 0.1930  2 In 2.69, 5 Mg 2.79-2.93

---

Below is crystalline MgInFe2 at its relaxed geometry, with properties calculated at the GGA-PBE level.

Values from the calculation:
The calculation puts the volume at 15.704 Å³/atom. Its spin magnetization is 9.6 μB/cell. The raw total energy comes out at -5.10 eV per atom. Its energy relative to the elements is 0.22 eV per atom.

Lattice parameters (Å, degrees): 9.0127 3.9148 3.9595 90.00 115.94 90.00
Last column: nearest neighbours and their distance in Å.
Space group C2/m (No. 12)
Asymmetric unit:
Mg: 0.0000 0.0000 0.0000  4 In 2.78, 8 Fe 2.82-2.84
In: 0.0000 0.5000 0.5000  4 Mg 2.78, 8 Fe 2.82-2.84
Fe: 0.2502 0.0000 0.7500  4 Fe 2.78, 4 Mg 2.82-2.84, 4 In 2.82-2.84

---

Below is crystalline NaMgInFe2 at its relaxed geometry, with properties calculated at the GGA-PBE level.

Values from the calculation:
The calculation puts the volume at 25.868 Å³/atom. Its spin magnetization is 5.6 μB/cell. The raw total energy comes out at -3.43 eV per atom. Its energy relative to the elements is 1.09 eV per atom.

Lattice parameters (Å, degrees): 4.9482 4.9482 5.2826 90.00 90.00 90.00
Last column: nearest neighbours and their distance in Å.
Space group P4/mmm (No. 123)
Asymmetric unit:
Na: 0.0000 0.0000 0.0000  2 In 2.64
Mg: 0.5000 0.5000 0.0000  4 Na 3.50, 8 Fe 3.62
In: 0.0000 0.0000 0.5000  4 Fe 2.47, 2 Na 2.64
Fe: 0.0000 0.5000 0.5000  2 In 2.47